This record from OQMD via LeMat-Bulk describes an optimized crystal structure of PuHfCu. The functional is PBE.

## Properties
energy relative to the elements	1.381	eV per formula unit
calculated volume	62.9	Å³ per cell
space group	F-43m
energy relative to the lowest polymorph listed for this composition	0.00	eV/f.u.

Cell lengths 4.463, 4.463, 4.463 Å; angles 60.00, 60.00, 60.00 degrees
Sites, in units of the cell vectors:
1 Cu 0.000 0.000 0.000
2 Hf 0.250 0.250 0.250
3 Pu 0.750 0.750 0.750

=====

This record from OQMD via LeMat-Bulk describes an optimized crystal structure of PuIrAu. The functional is PBE.

## Properties
energy relative to the elements	0.315	eV per formula unit
calculated volume	70.0	Å³ per cell
space group	F-43m
energy relative to the lowest polymorph listed for this composition	0.85	eV/f.u.

Cell lengths 4.626, 4.626, 4.626 Å; angles 60.00, 60.00, 60.00 degrees
Last column: magnetic moment on the atom in μB.
Sites, in units of the cell vectors:
1 Au 0.000 0.000 0.000  -0.08
2 Ir 0.500 0.500 0.500  -0.58
3 Pu 0.750 0.750 0.750  4.61

=====

This record from OQMD via LeMat-Bulk describes an optimized crystal structure of TbGeTe2AuSe. The functional is PBE.

## Properties
calculated volume	314.8	Å³ per cell
space group	Cmcm
DFT total energy	-4.3036	eV per atom

Cell lengths 7.578, 7.578, 10.384 Å; angles 90.00, 90.00, 148.14 degrees
Sites, in units of the cell vectors:
1 Au 0.019 0.981 0.250
2 Au 0.981 0.019 0.750
3 Ge 0.736 0.264 0.250
4 Ge 0.264 0.736 0.750
5 Se 0.404 0.596 0.250
6 Se 0.596 0.404 0.750
7 Tb 0.500 0.500 0.000
8 Tb 0.500 0.500 0.500
9 Te 0.157 0.843 0.062
10 Te 0.157 0.843 0.438
11 Te 0.843 0.157 0.562
12 Te 0.843 0.157 0.938